Compound: PmNd2Ho5Th
Source: the Alexandria database
Functional: GGA-PBE
Structure: relaxed

```
18
Lattice="-2.1451 -1.2146 5.0773 9.5895 -4.1570 -0.0801 3.9214 8.9729 3.8033" Properties=species:S:1:pos:R:3 pbc="T T T"
Ho 2.8850 3.0309 5.0810
Ho 11.0469 2.0588 5.1596
Ho 5.9275 4.5833 6.7378
Ho 9.2165 -0.5140 6.9079
Ho 5.9522 0.1936 2.5610
Ho 6.7090 -3.4841 2.0009
Ho 3.1785 -0.6486 4.3248
Ho 7.8679 3.5188 4.1658
Ho 0.3752 0.0557 0.1719
Ho 0.2231 1.3230 3.5478
Th 3.4795 -1.7969 1.0402
Th 6.0307 1.1520 5.9605
Nd 3.2002 1.7833 1.7786
Nd 8.7148 3.0744 7.5544
Nd 4.8350 5.4379 3.3436
Nd 6.3677 -2.2100 5.2986
Pm 8.7906 0.1185 3.7422
Pm 4.1516 7.0894 6.5870
```

Calculated values
Raw total energy, eV per atom: -4.795
Energy relative to the elements, kJ/mol of formula units: 139.3
Space-group type: Cmc2_1

***

Compound: TaCoRh2
Source: the Alexandria database
Functional: GGA-PBE
Structure: relaxed

```
4
Lattice="2.8115 0.0000 0.0000 0.0000 2.8115 0.0000 0.0000 0.0000 7.3121" Properties=species:S:1:pos:R:3 pbc="T T T"
Ta 1.4057 1.4057 1.8280
Rh 0.0000 0.0000 7.1737
Rh 0.0000 0.0000 3.7945
Co 1.4057 1.4057 5.4841
```

Calculated values
Raw total energy, eV per atom: -8.598
Energy relative to the elements, kJ/mol of formula units: -70.4
Space-group type: P4/mmm

***

Compound: YSc2Re
Source: the Alexandria database
Functional: GGA-PBE
Structure: relaxed

```
8
Lattice="4.2531 0.0000 0.0000 0.0000 4.2531 0.0000 2.1266 2.1266 10.1230" Properties=species:S:1:pos:R:3 pbc="T T T"
Sc 3.3126 1.0633 2.5308
Sc 5.3164 5.4391 7.5923
Sc 3.1898 3.0671 7.5923
Sc 0.9406 3.1898 2.5308
Y 2.1266 2.1266 0.0000
Y 2.1266 4.2531 5.0615
Re 4.2531 2.1266 5.0615
Re 0.0000 0.0000 0.0000
```

Calculated values
Raw total energy, eV per atom: -7.339
Energy relative to the elements, kJ/mol of formula units: 214.0
Polymorph energy (0 for the lowest one), meV per atom: 541.9
Space-group type: I-42d